VASP calculation (PBE) on ScTe2Cl after structural relaxation. Values from VASP.

```
&SYSTEM
  ibrav = 0, nat = 4, ntyp = 3
/
ATOMIC_SPECIES
Sc 44.96 Sc.upf
Te 127.60 Te.upf
Cl 35.45 Cl.upf
CELL_PARAMETERS angstrom
4.318 0.000 0.000
0.000 4.336 0.000
0.000 0.000 5.432
ATOMIC_POSITIONS angstrom
Sc 0.000 0.000 0.000
Te 0.000 2.168 2.716
Te 2.159 0.000 2.716
Cl 2.159 2.168 0.000
```

Output
D(E_F) = 2.557 states/eV/cell
formation energy without anion corrections = -0.53 eV per atom
ΔE to the lowest computed polymorph = 0.5335 eV/atom
total magnetization = 0.3 μB/f.u.
symmetry = Pmmm (47)
calculated density = 5.48 Mg/m³